Entry 1:
Rb2ThScS4: relaxed, PBE.

Summary:
For the total magnetization, the calculation gives 0.00 μB/f.u. For the formation energy without anion corrections, the calculation gives -1672 meV per atom. For the total energy, the calculation gives -5.70 eV/atom.

Unit cell a=6.930 b=4.041 c=8.066 alpha=90.00 beta=106.69 gamma=90.00
Space group P2/m (No. 10)
Symmetry-distinct sites (fractional):
Rb 0.000 0.000 0.000 [1 per cell]
Rb 0.500 0.500 0.000 [1 per cell]
Th 0.000 0.500 0.500 [1 per cell]
Sc 0.500 0.000 0.500 [1 per cell]
S 0.247 0.000 0.698 [2 per cell]
S 0.282 0.500 0.312 [2 per cell]

Entry 2:
RbScTiS4: relaxed, PBE.

Summary:
For the total magnetization, the calculation gives 0.00 μB/f.u. For the formation energy without anion corrections, the calculation gives -1487 meV per atom. For the total energy, the calculation gives -6.02 eV/atom.

Unit cell a=6.427 b=6.769 c=9.173 alpha=90.00 beta=109.86 gamma=90.00
Space group P2_1/m (No. 11)
Symmetry-distinct sites (fractional):
Rb 0.238 0.250 0.448 [2 per cell]
Sc 0.302 0.250 0.957 [2 per cell]
Ti 0.250 0.750 0.153 [2 per cell]
S 0.006 0.750 0.917 [2 per cell]
S 0.044 0.750 0.307 [2 per cell]
S 0.494 0.000 0.816 [4 per cell]

Entry 3:
Rb2Sc2TiS6: relaxed, PBE.

Summary:
For the total magnetization, the calculation gives 0.00 μB/f.u. For the formation energy without anion corrections, the calculation gives -1622 meV per atom. For the total energy, the calculation gives -5.92 eV/atom.

Unit cell a=6.428 b=11.084 c=8.133 alpha=90.00 beta=105.81 gamma=90.00
Space group C2/m (No. 12)
Symmetry-distinct sites (fractional):
Rb 0.000 0.169 0.000 [4 per cell]
Sc 0.000 0.333 0.500 [4 per cell]
Ti 0.000 0.000 0.500 [2 per cell]
S 0.222 0.159 0.679 [8 per cell]
S 0.242 0.500 0.678 [4 per cell]

Entry 4:
Rb3Sc2TiS6: relaxed, PBE.

Summary:
For the total magnetization, the calculation gives 1.02 μB/f.u. For the formation energy without anion corrections, the calculation gives -1549 meV per atom. For the total energy, the calculation gives -5.57 eV/atom.

Unit cell a=6.609 b=11.446 c=7.910 alpha=90.00 beta=106.19 gamma=90.00
Space group C2/m (No. 12)
Symmetry-distinct sites (fractional):
Rb 0.000 0.000 0.000 [2 per cell]
Rb 0.000 0.332 0.000 [4 per cell]
Sc 0.000 0.166 0.500 [4 per cell]
Ti 0.000 0.500 0.500 [2 per cell]
S 0.223 0.338 0.681 [8 per cell]
S 0.236 0.000 0.682 [4 per cell]

Entry 5:
Rb3Sc3TiS8: relaxed, PBE.

Summary:
For the total magnetization, the calculation gives 0.00 μB/f.u. For the formation energy without anion corrections, the calculation gives -1641 meV per atom. For the total energy, the calculation gives -5.83 eV/atom.

Unit cell a=7.5066 b=7.5066 c=23.3418 alpha=90.00 beta=90.00 gamma=120.00
Space group R-3m (No. 166, hexagonal axes)
Symmetry-distinct sites (fractional):
Rb 0.0000 0.5000 0.0000 [9 per cell]
Sc 0.0000 0.5000 0.5000 [9 per cell]
Ti 0.0000 0.0000 0.5000 [3 per cell]
S 0.0000 0.0000 0.2275 [6 per cell]
S 0.0140 0.5070 0.2257 [18 per cell]

Entry 6:
Rb2ScTlS: relaxed, PBE.

Summary:
For the total magnetization, the calculation gives 0.00 μB/f.u. For the formation energy without anion corrections, the calculation gives 405 meV per atom. For the total energy, the calculation gives -2.55 eV/atom.

Unit cell a=6.498 b=6.498 c=5.573 alpha=90.00 beta=90.00 gamma=90.00
Space group P4/mmm (No. 123)
Symmetry-distinct sites (fractional):
Rb 0.000 0.500 0.000 [2 per cell]
Sc 0.000 0.000 0.500 [1 per cell]
Tl 0.000 0.000 0.000 [1 per cell]
S 0.500 0.500 0.500 [1 per cell]